Entry 1:
Material: Pa3Tl4AuO12
Method: DFT, PBE
State: relaxed

Unit cell a=7.490 b=7.490 c=7.490 alpha=109.47 beta=109.47 gamma=109.47
Fractional coordinates of all 20 atoms:
Pa1 0.000 0.500 0.500
Pa2 0.500 0.500 0.000
Pa3 0.500 0.000 0.500
Tl1 0.500 0.500 0.500
Tl2 0.500 0.000 0.000
Tl3 0.000 0.500 0.000
Tl4 0.000 0.000 0.500
O1 0.250 0.750 0.500
O2 0.756 0.756 0.000
O3 0.000 0.244 0.244
O4 0.750 0.250 0.500
O5 0.000 0.756 0.756
O6 0.244 0.000 0.244
O7 0.500 0.250 0.750
O8 0.750 0.500 0.250
O9 0.244 0.244 0.000
O10 0.756 0.000 0.756
O11 0.500 0.750 0.250
O12 0.250 0.500 0.750
Au1 0.000 0.000 0.000

Results
magnetization: 0.0 μB per formula unit
volume: 16.2 Å³ per atom
uncorrected formation energy: -46.85 kcal/mol of atoms



Entry 2:
Material: PaTlAu2O6
Method: DFT, PBE
State: relaxed

Unit cell a=7.673 b=8.432 c=8.432 alpha=121.21 beta=70.68 gamma=70.68
Fractional coordinates of all 20 atoms:
Au1 0.239 0.692 0.676
Au2 0.761 0.308 0.324
Au3 0.261 0.324 0.308
Au4 0.739 0.676 0.692
O1 0.066 0.031 0.840
O2 0.566 0.840 0.031
O3 0.434 0.160 0.969
O4 0.655 0.969 0.525
O5 0.934 0.969 0.160
O6 0.977 0.410 0.310
O7 0.345 0.031 0.475
O8 0.845 0.475 0.031
O9 0.023 0.590 0.690
O10 0.477 0.310 0.410
O11 0.155 0.525 0.969
O12 0.523 0.690 0.590
Pa1 0.750 0.809 0.191
Pa2 0.250 0.191 0.809
Tl1 0.750 0.201 0.799
Tl2 0.250 0.799 0.201

Results
magnetization: 0.0 μB per formula unit
volume: 17.2 Å³ per atom
uncorrected formation energy: -27.26 kcal/mol of atoms



Entry 3:
Material: PaTlAuO6
Method: DFT, PBE
State: relaxed

Unit cell a=5.179 b=5.179 c=10.021 alpha=90.00 beta=90.00 gamma=90.00
Last column: magnetic moment on the atom in μB.
Fractional coordinates of all 18 atoms:
O1 0.312 0.312 0.680  0.04
O2 0.679 0.679 0.995  0.02
O3 0.307 0.307 0.325  0.17
O4 0.321 0.321 0.995  0.02
O5 0.179 0.821 0.495  0.02
O6 0.821 0.179 0.495  0.02
O7 0.807 0.193 0.825  0.17
O8 0.188 0.812 0.180  0.04
O9 0.812 0.188 0.180  0.04
O10 0.193 0.807 0.825  0.17
O11 0.688 0.688 0.680  0.04
O12 0.693 0.693 0.325  0.17
Tl1 0.500 0.500 0.501  0.01
Tl2 0.000 0.000 0.001  0.01
Pa1 0.500 0.500 0.167  0.11
Pa2 0.000 0.000 0.667  0.11
Au1 0.500 0.500 0.833  0.35
Au2 0.000 0.000 0.333  0.35

Results
magnetization: 1.0 μB per formula unit
volume: 14.9 Å³ per atom
uncorrected formation energy: -32.68 kcal/mol of atoms



Entry 4:
Material: TmPaAu2O8
Method: DFT, PBE
State: relaxed

Unit cell a=6.140 b=6.140 c=6.140 alpha=109.43 beta=109.43 gamma=109.54
Fractional coordinates of all 12 atoms:
O1 0.275 0.098 0.824
O2 0.275 0.451 0.176
O3 0.902 0.725 0.176
O4 0.704 0.022 0.682
O5 0.978 0.660 0.682
O6 0.978 0.296 0.318
O7 0.340 0.022 0.318
O8 0.549 0.725 0.824
Tm1 0.250 0.750 0.500
Pa1 0.000 0.000 0.000
Au1 0.750 0.250 0.500
Au2 0.500 0.500 0.000

Results
magnetization: 0.0 μB per formula unit
volume: 14.9 Å³ per atom
uncorrected formation energy: -34.44 kcal/mol of atoms